Record 1
This record from the Alexandria database describes a relaxed SmAlGa2Pd crystal. The functional is PBE-GGA.

Values from the calculation:
The value obtained for the calculated volume is 95 Å³ per cell. As for the size of the total moment: 0.0 μB/cell. As for the density of states at the Fermi level: 2.711 states/eV/cell. The value obtained for the total DFT energy (no corrections) is -4.65 eV/atom. The value obtained for the formation energy is -0.7075 eV per atom.

The structure in POSCAR format:
```
SmAlGa2Pd
1.0
-2.0638 2.0638 5.5653
2.0638 -2.0638 5.5653
2.0638 2.0638 -5.5653
Sm Al Ga Pd
1 1 2 1
direct
0.0000 0.0000 0.0000
0.7500 0.2500 0.5000
0.3889 0.3889 0.0000
0.6111 0.6111 0.0000
0.2500 0.7500 0.5000
```

***

Record 2
This record from the Alexandria database describes a relaxed SmAl2GaPd2 crystal. The functional is PBE-GGA.

Values from the calculation:
The value obtained for the calculated volume is 122 Å³ per cell. As for the size of the total moment: 0.0 μB/cell. As for the density of states at the Fermi level: 3.581 states/eV/cell. The value obtained for the total DFT energy (no corrections) is -4.74 eV/atom. The value obtained for the formation energy is -0.4662 eV per atom.

The structure in POSCAR format:
```
SmAl2GaPd2
1.0
4.6488 0.0000 0.0000
0.0000 4.6488 0.0000
0.0000 0.0000 5.6373
Sm Al Ga Pd
1 2 1 2
direct
0.0000 0.0000 0.0000
0.5000 0.5000 0.2426
0.5000 0.5000 0.7574
0.0000 0.0000 0.5000
0.0000 0.5000 0.5000
0.5000 0.0000 0.5000
```

***

Record 3
This record from the Alexandria database describes a relaxed AlGa2SnPd crystal. The functional is PBE-GGA.

Values from the calculation:
The value obtained for the calculated volume is 114 Å³ per cell. As for the size of the total moment: 0.0 μB/cell. As for the density of states at the Fermi level: 3.337 states/eV/cell. The value obtained for the total DFT energy (no corrections) is -3.80 eV/atom. The value obtained for the formation energy is -0.0021 eV per atom.

The structure in POSCAR format:
```
AlGa2SnPd
1.0
4.8373 0.0000 0.0000
0.0000 4.8373 0.0000
0.0000 0.0000 4.8601
Al Ga Sn Pd
1 2 1 1
direct
0.0000 0.0000 0.0000
0.0000 0.5000 0.5000
0.5000 0.0000 0.5000
0.5000 0.5000 0.0000
0.0000 0.0000 0.5000
```